Density functional theory data (PBE-GGA) for a geometry-optimized CsSrCrBr6 structure.

## Properties
Total energy (eV per atom): -3.905
V (A^3/atom): 41.83

abc: 7.419 7.419 7.896
angles: 89.99 90.00 60.01
Fractional coordinates of all 9 atoms:
Br: 0.343 0.052 0.691
Br: 0.605 0.052 0.309
Cr: 0.333 0.333 0.500
Cs: 0.000 0.000 0.000
Br: 0.052 0.343 0.309
Br: 0.605 0.343 0.691
Br: 0.052 0.605 0.691
Sr: 0.667 0.667 0.500
Br: 0.343 0.605 0.309

Density functional theory data (PBE-GGA) for a geometry-optimized Cs2SrCrBr6 structure.

## Properties
Total energy (eV per atom): -3.843
V (A^3/atom): 39.86

abc: 7.312 7.934 7.934
angles: 120.00 90.00 90.00
Fractional coordinates of all 10 atoms:
Br: 0.785 0.160 0.320
Br: 0.215 0.840 0.160
Br: 0.215 0.840 0.680
Cr: 0.000 0.000 0.000
Cs: 0.817 0.667 0.333
Br: 0.785 0.160 0.840
Br: 0.785 0.680 0.840
Cs: 0.183 0.333 0.667
Sr: 0.500 0.000 0.000
Br: 0.215 0.320 0.160